Li2CoTc (GGA-PBE, relaxed); energy above the lowest structure with this stoichiometry = 151 meV/atom; ΔE_f = 321 meV/atom; total magnetization = 1.8 μB/f.u.; total DFT energy (no corrections) = -20.0 eV/cell
1.0
2.411 0.000 0.000
0.000 4.412 0.000
0.000 0.000 4.937
Co Li Tc
1 2 1
Direct
0.500 0.500 0.750
0.000 0.000 0.998
0.000 0.000 0.502
0.500 0.500 0.250